a | VASP calculation (PBE) on crystalline GeAs2H at its relaxed geometry.

The space group is C2 (No. 5) and the conventional cell measures 14.060, 3.853 and 6.962 Å, with angles of 90.00, 115.30 and 90.00 degrees. Symmetry generates all atoms from Ge at (0.167, 0.000, 0.060), As at (0.084, 0.499, 0.165), As at (0.162, 0.794, 0.707) and H at (0.084, 0.508, 0.703).

The value obtained for the total magnetization is 0.00 μB per formula unit. The density is 4.4 g/cm3.

=====

b | VASP calculation (PBE) on crystalline GeAs2H at its relaxed geometry.

The space group is Fm-3m (No. 225) and the conventional cell measures 6.322, 6.322 and 6.322 Å, with angles of 90.00, 90.00 and 90.00 degrees. Symmetry generates all atoms from Ge at (0.000, 0.000, 0.000), As at (0.250, 0.250, 0.250) and H at (0.000, 0.000, 0.500).

The value obtained for the total magnetization is 0.00 μB per formula unit. The density is 5.9 g/cm3.

=====

c | VASP calculation (PBE) on crystalline GeAs2H at its relaxed geometry.

The space group is I-42d (No. 122) and the conventional cell measures 5.354, 5.354 and 10.217 Å, with angles of 90.00, 90.00 and 90.00 degrees. Symmetry generates all atoms from Ge at (0.000, 0.000, 0.000), As at (0.186, 0.250, 0.625) and H at (0.000, 0.000, 0.500).

The value obtained for the total magnetization is 0.00 μB per formula unit. The density is 5.1 g/cm3.

=====

Top of the stability list: a, leading by 264 meV per atom.

=====

a | VASP calculation (PBE) on crystalline GeAs3H at its relaxed geometry.

The space group is Pm-3m (No. 221) and the conventional cell measures 4.342, 4.342 and 4.342 Å, with angles of 90.00, 90.00 and 90.00 degrees. Symmetry generates all atoms from Ge at (0.000, 0.000, 0.000), As at (0.000, 0.500, 0.500) and H at (0.500, 0.500, 0.500).

The value obtained for the total magnetization is 0.00 μB per formula unit. The density is 6.1 g/cm3.

=====

b | VASP calculation (PBE) on crystalline GeAs3H at its relaxed geometry.

The space group is Pm-3m (No. 221) and the conventional cell measures 4.992, 4.992 and 4.992 Å, with angles of 90.00, 90.00 and 90.00 degrees. Symmetry generates all atoms from Ge at (0.000, 0.000, 0.000), As at (0.000, 0.000, 0.500) and H at (0.500, 0.500, 0.500).

The value obtained for the total magnetization is 0.69 μB per formula unit. The density is 4.0 g/cm3.

=====

Top of the stability list: a, leading by 659 meV per atom.

=====

a | VASP calculation (PBE) on crystalline LaZrGeAsH at its relaxed geometry.

The space group is P3m1 (No. 156) and the conventional cell measures 4.1003, 4.1003 and 7.0336 Å, with angles of 90.00, 90.00 and 120.00 degrees. Symmetry generates all atoms from La at (0.0000, 0.0000, 0.0000), Zr at (0.3333, 0.6667, 0.5036), Ge at (0.6667, 0.3333, 0.3004), As at (0.6667, 0.3333, 0.7121) and H at (0.6667, 0.3333, 0.0564).

The value obtained for the total magnetization is 0.00 μB per formula unit. The density is 6.1 g/cm3.

=====

b | VASP calculation (PBE) on crystalline LaZrGeAsH at its relaxed geometry.

The space group is R3m (No. 160, hexagonal axes) and the conventional cell measures 4.1733, 4.1733 and 20.5168 Å, with angles of 90.00, 90.00 and 120.00 degrees. Symmetry generates all atoms from La at (0.0000, 0.0000, 0.0000), Zr at (0.0000, 0.0000, 0.1761), Ge at (0.0000, 0.0000, 0.5734), As at (0.0000, 0.0000, 0.4351) and H at (0.0000, 0.0000, 0.6636).

The value obtained for the total magnetization is 0.00 μB per formula unit. The density is 6.1 g/cm3.

=====

Top of the stability list: b, leading by 44 meV per atom.

=====

a | VASP calculation (PBE) on crystalline RbGeAsHSe at its relaxed geometry.

The space group is P1 (No. 1) and the conventional cell measures 3.950, 5.101 and 7.067 Å, with angles of 100.98, 106.01 and 90.88 degrees. Symmetry generates all atoms from Rb at (0.000, 0.000, 0.000), Ge at (0.811, 0.396, 0.559), As at (0.302, 0.106, 0.565), H at (0.422, 0.767, 0.333) and Se at (0.619, 0.556, 0.227).

The value obtained for the total magnetization is 0.00 μB per formula unit. The density is 3.9 g/cm3.

=====

b | VASP calculation (PBE) on crystalline RbGeAsHSe at its relaxed geometry.

The space group is P1 (No. 1) and the conventional cell measures 4.002, 5.754 and 6.013 Å, with angles of 78.81, 77.03 and 89.86 degrees. Symmetry generates all atoms from Rb at (0.000, 0.000, 0.000), Ge at (0.486, 0.606, 0.568), As at (0.033, 0.421, 0.428), H at (0.487, 0.887, 0.506) and Se at (0.498, 0.499, 0.974).

The value obtained for the total magnetization is 0.00 μB per formula unit. The density is 3.9 g/cm3.

=====

c | VASP calculation (PBE) on crystalline RbGeAsHSe at its relaxed geometry.

The space group is P1 (No. 1) and the conventional cell measures 3.997, 5.287 and 6.503 Å, with angles of 77.16, 79.48 and 84.72 degrees. Symmetry generates all atoms from Rb at (0.000, 0.000, 0.000), Ge at (0.228, 0.597, 0.602), As at (0.366, 0.390, 0.285), H at (0.735, 0.487, 0.219) and Se at (0.687, 0.926, 0.538).

The value obtained for the total magnetization is 0.00 μB per formula unit. The density is 4.0 g/cm3.

=====

d | VASP calculation (PBE) on crystalline RbGeAsHSe at its relaxed geometry.

The space group is P1 (No. 1) and the conventional cell measures 3.991, 4.843 and 7.413 Å, with angles of 71.08, 74.38 and 89.99 degrees. Symmetry generates all atoms from Rb at (0.000, 0.000, 0.000), Ge at (0.247, 0.737, 0.522), As at (0.367, 0.303, 0.390), H at (0.032, 0.338, 0.318) and Se at (0.617, 0.619, 0.760).

The value obtained for the total magnetization is 0.00 μB per formula unit. The density is 4.0 g/cm3.

=====

Top of the stability list: d, leading by 57 meV per atom.

=====

a | VASP calculation (PBE) on crystalline GeAsHSe2 at its relaxed geometry.

The space group is P4/mmm (No. 123) and the conventional cell measures 5.078, 5.078 and 4.977 Å, with angles of 90.00, 90.00 and 90.00 degrees. Symmetry generates all atoms from Ge at (0.000, 0.000, 0.000), As at (0.000, 0.000, 0.500), H at (0.500, 0.500, 0.500) and Se at (0.000, 0.500, 0.000).

The value obtained for the total magnetization is 0.49 μB per formula unit. The density is 4.0 g/cm3.

=====

b | VASP calculation (PBE) on crystalline GeAsHSe2 at its relaxed geometry.

The space group is P4/mmm (No. 123) and the conventional cell measures 5.096, 5.096 and 3.411 Å, with angles of 90.00, 90.00 and 90.00 degrees. Symmetry generates all atoms from Ge at (0.000, 0.000, 0.000), As at (0.500, 0.500, 0.000), H at (0.500, 0.500, 0.500) and Se at (0.000, 0.500, 0.500).

The value obtained for the total magnetization is 0.00 μB per formula unit. The density is 5.7 g/cm3.

=====

Top of the stability list: b, leading by 541 meV per atom.

=====

a | VASP calculation (PBE) on crystalline GeAs2HSe at its relaxed geometry.

The space group is P4/mmm (No. 123) and the conventional cell measures 4.996, 4.996 and 5.084 Å, with angles of 90.00, 90.00 and 90.00 degrees. Symmetry generates all atoms from Ge at (0.000, 0.000, 0.000), As at (0.000, 0.500, 0.000), H at (0.500, 0.500, 0.500) and Se at (0.000, 0.000, 0.500).

The value obtained for the total magnetization is 0.46 μB per formula unit. The density is 4.0 g/cm3.

=====

b | VASP calculation (PBE) on crystalline GeAs2HSe at its relaxed geometry.

The space group is P4/mmm (No. 123) and the conventional cell measures 3.965, 3.965 and 5.643 Å, with angles of 90.00, 90.00 and 90.00 degrees. Symmetry generates all atoms from Ge at (0.000, 0.000, 0.000), As at (0.000, 0.500, 0.500), H at (0.500, 0.500, 0.500) and Se at (0.500, 0.500, 0.000).

The value obtained for the total magnetization is 0.00 μB per formula unit. The density is 5.7 g/cm3.

=====

Top of the stability list: b, leading by 620 meV per atom.

=====

a | VASP calculation (PBE) on crystalline Hf2GeAs at its relaxed geometry.

The space group is Fm-3m (No. 225) and the conventional cell measures 6.691, 6.691 and 6.691 Å, with angles of 90.00, 90.00 and 90.00 degrees. Symmetry generates all atoms from Hf at (0.250, 0.250, 0.250), Ge at (0.000, 0.000, 0.000) and As at (0.000, 0.000, 0.500).

The value obtained for the total magnetization is 0.00 μB per formula unit. The density is 11.2 g/cm3.

=====

b | VASP calculation (PBE) on crystalline Hf2GeAs at its relaxed geometry.

The space group is I-42d (No. 122) and the conventional cell measures 6.031, 6.031 and 12.152 Å, with angles of 90.00, 90.00 and 90.00 degrees. Symmetry generates all atoms from Hf at (0.247, 0.250, 0.125), Ge at (0.000, 0.000, 0.000) and As at (0.000, 0.000, 0.500).

The value obtained for the total magnetization is 0.00 μB per formula unit. The density is 7.6 g/cm3.

=====

c | VASP calculation (PBE) on crystalline Hf2GeAs at its relaxed geometry.

The space group is Pmmm (No. 47) and the conventional cell measures 3.825, 3.846 and 5.436 Å, with angles of 90.00, 90.00 and 90.00 degrees. Symmetry generates all atoms from Hf at (0.000, 0.000, 0.000), Hf at (0.500, 0.500, 0.500), Ge at (0.000, 0.000, 0.500) and As at (0.500, 0.500, 0.000).

The value obtained for the total magnetization is 0.00 μB per formula unit. The density is 10.5 g/cm3.

=====

d | VASP calculation (PBE) on crystalline Hf2GeAs at its relaxed geometry.

The space group is R-3m (No. 166, hexagonal axes) and the conventional cell measures 3.5482, 3.5482 and 25.8538 Å, with angles of 90.00, 90.00 and 120.00 degrees. Symmetry generates all atoms from Hf at (0.0000, 0.0000, 0.1031), Ge at (0.0000, 0.0000, 0.0000) and As at (0.0000, 0.0000, 0.5000).

The value obtained for the total magnetization is 0.27 μB per formula unit. The density is 8.9 g/cm3.

=====

Top of the stability list: c, leading by 356 meV per atom.

=====

a | VASP calculation (PBE) on crystalline Hf2GeAs at its relaxed geometry.

The space group is R3m (No. 160, hexagonal axes) and the conventional cell measures 3.7838, 3.7838 and 19.6310 Å, with angles of 90.00, 90.00 and 120.00 degrees. Symmetry generates all atoms from Hf at (0.0000, 0.0000, 0.0000), Hf at (0.0000, 0.0000, 0.1754), Ge at (0.0000, 0.0000, 0.5856) and As at (0.0000, 0.0000, 0.7546).

The value obtained for the total magnetization is 0.00 μB per formula unit. The density is 10.3 g/cm3.

=====

b | VASP calculation (PBE) on crystalline Hf2GeAs at its relaxed geometry.

The space group is C2/m (No. 12) and the conventional cell measures 6.635, 3.833 and 6.675 Å, with angles of 90.00, 109.45 and 90.00 degrees. Symmetry generates all atoms from Hf at (0.248, 0.000, 0.245), Ge at (0.000, 0.500, 0.000) and As at (0.000, 0.000, 0.500).

The value obtained for the total magnetization is 0.00 μB per formula unit. The density is 10.5 g/cm3.

=====

Top of the stability list: b, leading by 49 meV per atom.

=====

a | VASP calculation (PBE) on crystalline Hf4GeAs at its relaxed geometry.

The space group is P4/mcc (No. 124) and the conventional cell measures 6.564, 6.564 and 5.385 Å, with angles of 90.00, 90.00 and 90.00 degrees. Symmetry generates all atoms from Hf at (0.156, 0.343, 0.000), Ge at (0.000, 0.000, 0.250) and As at (0.500, 0.500, 0.250).

The value obtained for the total magnetization is 0.00 μB per formula unit. The density is 12.3 g/cm3.

=====

b | VASP calculation (PBE) on crystalline Hf4GeAs at its relaxed geometry.

The space group is P2_1/c (No. 14) and the conventional cell measures 6.335, 6.405 and 6.444 Å, with angles of 90.00, 94.49 and 90.00 degrees. Symmetry generates all atoms from Hf at (0.135, 0.144, 0.369), Hf at (0.357, 0.639, 0.345), Ge at (0.000, 0.000, 0.000) and As at (0.500, 0.000, 0.500).

The value obtained for the total magnetization is 0.00 μB per formula unit. The density is 11.0 g/cm3.

=====

Top of the stability list: a, leading by 450 meV per atom.

=====

a | VASP calculation (PBE) on crystalline HgGeAs3 at its relaxed geometry.

The space group is Pm-3m (No. 221) and the conventional cell measures 5.178, 5.178 and 5.178 Å, with angles of 90.00, 90.00 and 90.00 degrees. Symmetry generates all atoms from Hg at (0.000, 0.000, 0.000), Ge at (0.500, 0.500, 0.500) and As at (0.000, 0.000, 0.500).

The value obtained for the total magnetization is 0.00 μB per formula unit. The density is 6.0 g/cm3.

=====

b | VASP calculation (PBE) on crystalline HgGeAs3 at its relaxed geometry.

The space group is Pm-3m (No. 221) and the conventional cell measures 5.007, 5.007 and 5.007 Å, with angles of 90.00, 90.00 and 90.00 degrees. Symmetry generates all atoms from Hg at (0.000, 0.000, 0.000), Ge at (0.500, 0.500, 0.500) and As at (0.000, 0.500, 0.500).

The value obtained for the total magnetization is 0.00 μB per formula unit. The density is 6.6 g/cm3.

=====

Top of the stability list: b, leading by 382 meV per atom.